Record 1
The following is a DFT calculation (GGA-PBE) of crystalline KTi3Mn at its relaxed geometry.

The calculation puts the magnetic moment at 1.69 μB per cell. The energy relative to the elements is 0.71 eV/atom.

It has space group Pm-3m (No. 221), with a = 4.737 Å, b = 4.737 Å, c = 4.737 Å, α = 90.00°, β = 90.00° and γ = 90.00°. The distinct sites, in fractional coordinates, are K at (0.000, 0.000, 0.000), Ti at (0.000, 0.500, 0.500) and Mn at (0.500, 0.500, 0.500).


Record 2
The following is a DFT calculation (GGA-PBE) of crystalline KTi3Mn at its relaxed geometry.

The calculation puts the magnetic moment at 0.00 μB per cell. The energy relative to the elements is 2.27 eV/atom.

It has space group Pm-3m (No. 221), with a = 4.411 Å, b = 4.411 Å, c = 4.411 Å, α = 90.00°, β = 90.00° and γ = 90.00°. The distinct sites, in fractional coordinates, are K at (0.000, 0.000, 0.000), Ti at (0.000, 0.000, 0.500) and Mn at (0.500, 0.500, 0.500).


Record 3
The following is a DFT calculation (GGA-PBE) of crystalline KMnTl2 at its relaxed geometry.

The calculation puts the magnetic moment at 12.20 μB per cell. The energy relative to the elements is 0.33 eV/atom.

It has space group R-3m (No. 166, hexagonal axes), with a = 3.6855 Å, b = 3.6855 Å, c = 29.6775 Å, α = 90.00°, β = 90.00° and γ = 120.00°. The distinct sites, in fractional coordinates, are K at (0.0000, 0.0000, 0.0000), Mn at (0.0000, 0.0000, 0.5000) and Tl at (0.0000, 0.0000, 0.2348).


Record 4
The following is a DFT calculation (GGA-PBE) of crystalline KMnTl at its relaxed geometry.

The calculation puts the magnetic moment at 14.46 μB per cell. The energy relative to the elements is 0.72 eV/atom.

It has space group F-43m (No. 216), with a = 7.284 Å, b = 7.284 Å, c = 7.284 Å, α = 90.00°, β = 90.00° and γ = 90.00°. The distinct sites, in fractional coordinates, are K at (0.000, 0.000, 0.000), Mn at (0.250, 0.250, 0.250) and Tl at (0.000, 0.000, 0.500).


Record 5
The following is a DFT calculation (GGA-PBE) of crystalline K4MnTl at its relaxed geometry.

The calculation puts the magnetic moment at 17.16 μB per cell. The energy relative to the elements is 0.63 eV/atom.

It has space group F-43m (No. 216), with a = 10.435 Å, b = 10.435 Å, c = 10.435 Å, α = 90.00°, β = 90.00° and γ = 90.00°. The distinct sites, in fractional coordinates, are K at (0.125, 0.125, 0.125), Mn at (0.250, 0.250, 0.750) and Tl at (0.000, 0.000, 0.500).


Record 6
The following is a DFT calculation (GGA-PBE) of crystalline KMnTl2 at its relaxed geometry.

The calculation puts the magnetic moment at 4.13 μB per cell. The energy relative to the elements is 0.34 eV/atom.

It has space group Pmm2 (No. 25), with a = 3.424 Å, b = 4.430 Å, c = 8.185 Å, α = 90.00°, β = 90.00° and γ = 90.00°. The distinct sites, in fractional coordinates, are K at (0.000, 0.000, 0.000), Mn at (0.500, 0.500, 0.344), Tl at (0.000, 0.000, 0.434) and Tl at (0.500, 0.500, 0.697).


Record 7
The following is a DFT calculation (GGA-PBE) of crystalline KMnTl2 at its relaxed geometry.

The calculation puts the magnetic moment at 8.63 μB per cell. The energy relative to the elements is 0.38 eV/atom.

It has space group Immm (No. 71), with a = 3.815 Å, b = 5.968 Å, c = 10.501 Å, α = 90.00°, β = 90.00° and γ = 90.00°. The distinct sites, in fractional coordinates, are K at (0.000, 0.000, 0.000), Mn at (0.000, 0.000, 0.500) and Tl at (0.000, 0.500, 0.210).


Record 8
The following is a DFT calculation (GGA-PBE) of crystalline KMnTl2 at its relaxed geometry.

The calculation puts the magnetic moment at 8.30 μB per cell. The energy relative to the elements is 0.45 eV/atom.

It has space group C2/m (No. 12), with a = 7.106 Å, b = 9.318 Å, c = 3.405 Å, α = 90.00°, β = 90.72° and γ = 90.00°. The distinct sites, in fractional coordinates, are K at (0.000, 0.000, 0.000), Mn at (0.000, 0.500, 0.000) and Tl at (0.250, 0.250, 0.500).


Record 9
The following is a DFT calculation (GGA-PBE) of crystalline KMn3Tl at its relaxed geometry.

The calculation puts the magnetic moment at 13.29 μB per cell. The energy relative to the elements is 1.96 eV/atom.

It has space group Pm-3m (No. 221), with a = 5.443 Å, b = 5.443 Å, c = 5.443 Å, α = 90.00°, β = 90.00° and γ = 90.00°. The distinct sites, in fractional coordinates, are K at (0.000, 0.000, 0.000), Mn at (0.000, 0.000, 0.500) and Tl at (0.500, 0.500, 0.500).


Record 10
The following is a DFT calculation (GGA-PBE) of crystalline KMnTl at its relaxed geometry.

The calculation puts the magnetic moment at 16.16 μB per cell. The energy relative to the elements is 1.03 eV/atom.

It has space group F-43m (No. 216), with a = 7.686 Å, b = 7.686 Å, c = 7.686 Å, α = 90.00°, β = 90.00° and γ = 90.00°. The distinct sites, in fractional coordinates, are K at (0.000, 0.000, 0.000), Mn at (0.250, 0.250, 0.250) and Tl at (0.250, 0.250, 0.750).


Record 11
The following is a DFT calculation (GGA-PBE) of crystalline KMnTl2 at its relaxed geometry.

The calculation puts the magnetic moment at 14.29 μB per cell. The energy relative to the elements is 0.47 eV/atom.

It has space group I-42d (No. 122), with a = 6.043 Å, b = 6.043 Å, c = 18.105 Å, α = 90.00°, β = 90.00° and γ = 90.00°. The distinct sites, in fractional coordinates, are K at (0.000, 0.000, 0.000), Mn at (0.000, 0.000, 0.500) and Tl at (0.022, 0.250, 0.625).


Record 12
The following is a DFT calculation (GGA-PBE) of crystalline KMnTl2 at its relaxed geometry.

The calculation puts the magnetic moment at 7.93 μB per cell. The energy relative to the elements is 0.27 eV/atom.

It has space group Cm (No. 8), with a = 8.255 Å, b = 4.764 Å, c = 7.249 Å, α = 90.00°, β = 112.23° and γ = 90.00°. The distinct sites, in fractional coordinates, are K at (0.000, 0.000, 0.000), Mn at (0.319, 0.500, 0.458), Tl at (0.207, 0.000, 0.622) and Tl at (0.452, 0.000, 0.356).